Entry 1:
Compound: La2FeAg
Source: Alexandria via LeMat-Bulk
Functional: GGA-PBE
Structure: optimized geometry

energy = -40.6 eV per cell

Lattice parameters (Å, degrees): 6.423 6.423 6.423 103.63 103.63 121.93
Fractional coordinates of all 8 atoms:
1 La 0.061 0.625 0.936
2 La 0.375 0.311 0.436
3 La 0.689 0.125 0.064
4 La 0.875 0.939 0.564
5 Fe 0.000 0.000 0.000
6 Fe 0.750 0.250 0.500
7 Ag 0.250 0.750 0.500
8 Ag 0.500 0.500 0.000

***

Entry 2:
Compound: Rb2Na3Bi2
Source: Alexandria via LeMat-Bulk
Functional: GGA-PBE
Structure: optimized geometry

energy = -15.8 eV per cell

Lattice parameters (Å, degrees): 7.310 7.310 8.755 113.10 113.10 43.77
Fractional coordinates of all 7 atoms:
1 Rb 0.155 0.155 0.286
2 Rb 0.845 0.845 0.714
3 Na 0.347 0.347 0.072
4 Na 0.500 0.500 0.500
5 Na 0.653 0.653 0.928
6 Bi 0.125 0.125 0.715
7 Bi 0.875 0.875 0.285

***

Entry 3:
Compound: Li2Ga9Pt3
Source: Alexandria via LeMat-Bulk
Functional: GGA-PBE
Structure: optimized geometry

energy = -112.1 eV per cell

Lattice parameters (Å, degrees): 7.495 7.495 10.557 110.92 110.92 60.47
Fractional coordinates of all 28 atoms:
1 Li 0.073 0.256 0.250
2 Li 0.256 0.073 0.750
3 Li 0.744 0.927 0.250
4 Li 0.927 0.744 0.750
5 Ga 0.019 0.872 0.086
6 Ga 0.128 0.981 0.414
7 Ga 0.188 0.359 0.585
8 Ga 0.202 0.585 0.251
9 Ga 0.299 0.471 0.918
10 Ga 0.359 0.188 0.085
11 Ga 0.375 0.625 0.750
12 Ga 0.415 0.798 0.249
13 Ga 0.471 0.299 0.418
14 Ga 0.529 0.701 0.582
15 Ga 0.585 0.202 0.751
16 Ga 0.625 0.375 0.250
17 Ga 0.641 0.812 0.915
18 Ga 0.701 0.529 0.082
19 Ga 0.798 0.415 0.749
20 Ga 0.812 0.641 0.415
21 Ga 0.872 0.019 0.586
22 Ga 0.981 0.128 0.914
23 Pt 0.000 0.500 0.000
24 Pt 0.167 0.666 0.501
25 Pt 0.334 0.833 0.999
26 Pt 0.500 0.000 0.500
27 Pt 0.666 0.167 0.001
28 Pt 0.833 0.334 0.499